one.
A geometry-optimized TaTeBr2 structure. Source: the Alexandria database, functional PBE.

```
4
Lattice="-3.0383 -0.9563 -4.6399 -1.0596 -3.7289 4.0800 -2.2989 1.8770 1.1185" Properties=species:S:1:pos:R:3 pbc="T T T"
Te -1.6793 -0.9259 2.5992
Br 0.0000 0.0000 0.0000
Br -2.0490 -2.3426 -0.2799
Ta -2.6686 0.4604 -1.7607
```

two.
A geometry-optimized TaTeBr2 structure. Source: the Alexandria database, functional PBE.

```
4
Lattice="-2.9973 -0.9433 0.3626 0.8667 -1.8152 2.4416 -1.6610 7.7069 6.3191" Properties=species:S:1:pos:R:3 pbc="T T T"
Te -2.3111 4.4009 6.1415
Br -0.1440 0.6681 0.5478
Br -0.6865 3.1854 2.6118
Ta -1.4806 0.5475 2.9819
```

The computed energies, referenced to the most stable structure and given in kJ/mol of atoms, are one 83.9; two 0.0.

one.
A geometry-optimized Ba2Ag structure. Source: the Alexandria database, functional PBE.

```
6
Lattice="7.0442 0.0166 0.0000 -2.7977 6.4648 0.0000 -2.1232 -3.2407 5.8831" Properties=species:S:1:pos:R:3 pbc="T T T"
Ag 3.1848 4.8610 0.0000
Ag 1.0616 1.6203 0.0000
Ba 0.6705 -0.4393 2.9415
Ba 1.4528 3.6800 2.9415
Ba -2.4605 1.6120 5.0815
Ba 4.5837 1.6286 0.8015
```

two.
A geometry-optimized Ba2Ag structure. Source: the Alexandria database, functional PBE.

```
6
Lattice="-2.1037 4.1343 -1.5991 -2.6904 -3.7983 -6.2804 -6.8066 -1.8929 4.0606" Properties=species:S:1:pos:R:3 pbc="T T T"
Ag 0.0000 0.0000 0.0000
Ag -5.8004 -0.7784 -1.9095
Ba -5.2300 -2.2388 1.0921
Ba -4.2670 -3.4523 -3.3119
Ba -8.7608 -2.3861 -2.1713
Ba -2.8400 0.8292 -1.6476
```

The computed energies, referenced to the most stable structure and given in kJ/mol of atoms, are one 0.0; two 1.4.

one.
A geometry-optimized BeH structure. Source: the Alexandria database, functional PBE.

```
12
Lattice="-0.7159 -0.7710 1.8725 3.6899 0.2260 1.5037 -2.1005 10.6008 3.5615" Properties=species:S:1:pos:R:3 pbc="T T T"
Be 1.2797 9.7242 4.4929
Be -1.0986 6.0174 3.2893
Be -0.6743 3.8763 2.5700
Be 2.9560 1.2645 1.6508
Be 1.7274 5.4705 2.9127
Be 0.5543 -0.3296 1.3080
H -0.4523 7.2084 2.7949
H 0.6335 8.5332 4.9873
H 2.0013 1.6304 2.6682
H 0.2804 3.5105 1.5525
H 2.0917 0.1281 0.8524
H 0.1900 5.0128 3.3683
```

two.
A geometry-optimized BeH structure. Source: the Alexandria database, functional PBE.

```
4
Lattice="2.0810 0.0009 0.0089 1.0050 2.3424 0.0090 0.4113 -0.0705 6.1631" Properties=species:S:1:pos:R:3 pbc="T T T"
Be 1.0432 1.6764 0.9063
Be 2.4541 0.5965 5.2747
H 1.4182 0.5602 4.2646
H 2.0792 1.7127 1.9163
```

The computed energies, referenced to the most stable structure and given in kJ/mol of atoms, are one 8.6; two 0.0.

one.
A geometry-optimized Ca2YMo structure. Source: the Alexandria database, functional PBE.

```
4
Lattice="3.5399 0.0000 0.0000 0.0000 3.5399 0.0000 0.0000 0.0000 9.4895" Properties=species:S:1:pos:R:3 pbc="T T T"
Y 1.7700 1.7700 7.1171
Mo 1.7700 1.7700 2.3724
Ca 0.0000 0.0000 0.4693
Ca 0.0000 0.0000 4.2754
```

two.
A geometry-optimized Ca2YMo structure. Source: the Alexandria database, functional PBE.

```
4
Lattice="6.7178 0.0055 0.0057 3.1771 5.9191 -0.0057 -4.0639 -4.4380 2.9864" Properties=species:S:1:pos:R:3 pbc="T T T"
Y 2.5249 2.5178 1.4903
Mo 4.8443 2.9005 0.0000
Ca 0.0235 0.0141 0.0000
Ca 3.3857 -0.9836 1.4960
```

The computed energies, referenced to the most stable structure and given in kJ/mol of atoms, are one 13.0; two 0.0.